Below is Al3FeO after structural relaxation, with properties calculated at the PBE+U level.

```
Al3FeO
1.0
4.620 0.000 0.000
0.000 4.620 0.000
0.000 0.000 4.620
Al Fe O
3 1 1
Direct
0.000 0.500 0.000
0.000 0.000 0.500
0.500 0.000 0.000
0.000 0.000 0.000
0.500 0.500 0.500
```

Calculated values
Energy above the most stable polymorph in this dataset (meV/atom): 929
Density of states at the Fermi level (states/eV per cell): 2.87
Space group: No. 221